Density functional theory data (GGA-PBE) for a relaxed structure of HoAlCu3.

Cell lengths 5.0840, 6.9971, 9.2103 Å; angles 90.00, 90.00, 90.00 degrees
Space group Imma (No. 74)
Asymmetric unit:
Ho1 0.0000 0.2500 0.0077 [4 per cell]
Al1 0.0000 0.0000 0.5000 [4 per cell]
Cu1 0.0000 0.2500 0.3147 [4 per cell]
Cu2 0.2500 0.0581 0.7500 [8 per cell]

Output
Magnetization: 0.00 μB/f.u.
Electronic total energy: -4.33 eV/atom

***

Density functional theory data (GGA-PBE) for a relaxed structure of Ho2Al8Cu.

Cell lengths 4.2770, 4.2770, 11.0725 Å; angles 90.00, 90.00, 90.00 degrees
Space group P4/mmm (No. 123)
Asymmetric unit:
Ho1 0.0000 0.0000 0.1887 [2 per cell]
Al1 0.0000 0.5000 0.0000 [2 per cell]
Al2 0.0000 0.5000 0.3770 [4 per cell]
Al3 0.5000 0.5000 0.1972 [2 per cell]
Cu1 0.0000 0.0000 0.5000 [1 per cell]

Output
Magnetization: 0.00 μB/f.u.
Electronic total energy: -4.26 eV/atom

***

Number 1: formation energy from the elements -0.206 eV per atom. Number 2: formation energy from the elements -0.332 eV per atom.